An optimized crystal structure of FeSiRh2. Source: Alexandria, functional PBE.

abc: 4.651 4.651 4.651
angles: 133.20 133.20 68.33
Element x y z (fractional)
Rh  0.250  0.750  0.500
Rh  0.000  0.000  0.000
Fe  0.750  0.250  0.500
Si  0.500  0.500  0.000

Spin magnetization   0.7245 μB per atom
Density   9.16 g cm⁻³
E_form (uncorrected)   -289 meV/atom
N(E_F)   1.107 states/eV per atom